GGA-PBE CdIr2, relaxed; E_tot = -18.1 eV/f.u.; space-group type = C2/m, No. 12; M_tot = 0.00 μB per formula unit
1.0
1.399 5.420 -0.004
-1.399 5.420 -0.004
0.000 1.723 6.464
Cd Ir
2 4
direct
0.979 0.979 0.798 Cd
0.021 0.021 0.202 Cd
0.348 0.348 0.521 Ir
0.712 0.712 0.858 Ir
0.288 0.288 0.142 Ir
0.652 0.652 0.479 Ir

***

GGA-PBE SrTcNi2, relaxed; space-group type = R3m, No. 160; M_tot = 0.00 μB per formula unit; relative energy among the computed polymorphs = 52.0 meV/atom
1.0
-0.992 -4.020 0.223
2.910 -2.890 -0.612
1.777 -2.287 5.206
Ni Sr Tc
2 1 1
direct
0.992 0.992 0.023 Ni
0.316 0.316 0.051 Ni
0.503 0.503 0.490 Sr
0.688 0.688 0.937 Tc

***

Q: Which DOS at the Fermi energy values were calculated for the entries above? A: 0.857 1.011, in states/eV/atom.